VASP calculation (PBE) on a relaxed TlTcHg2 crystal.

abc: 3.3009 4.1571 6.2021
angles: 90.00 90.00 90.00
Fractional coordinates of all 4 atoms:
Tl 0.0000 0.0000 0.0000
Tc 0.5000 0.5000 0.7718
Hg 0.0000 0.0000 0.5345
Hg 0.5000 0.5000 0.2850

Summary:
- E_form: 0.64 eV per atom
- Mass density: 13.7 g/cm3
- Crystal system: orthorhombic
- DFT total energy: -10.77 eV/f.u.
- SG: No. 25
- Energy relative to the lowest polymorph listed for this composition: 165 meV per atom

***

VASP calculation (PBE) on a relaxed TlTcHg2 crystal.

abc: 5.7284 5.7284 5.7284
angles: 137.77 137.77 61.25
Fractional coordinates of all 4 atoms:
Tl 0.0000 0.0000 0.0000
Tc 0.5000 0.5000 0.0000
Hg 0.2500 0.7500 0.5000
Hg 0.7500 0.2500 0.5000

Summary:
- E_form: 0.62 eV per atom
- Mass density: 13.9 g/cm3
- Crystal system: tetragonal
- DFT total energy: -10.85 eV/f.u.
- SG: No. 139
- Energy relative to the lowest polymorph listed for this composition: 145 meV per atom

***

VASP calculation (PBE) on a relaxed Tl2TcHg crystal.

abc: 9.9603 9.9603 9.9603
angles: 18.95 18.95 18.95
Fractional coordinates of all 4 atoms:
Tl 0.2413 0.2413 0.2413
Tl 0.7587 0.7587 0.7587
Tc 0.5000 0.5000 0.5000
Hg 0.0000 0.0000 0.0000

Summary:
- E_form: 0.59 eV per atom
- Mass density: 12.9 g/cm3
- Crystal system: trigonal
- DFT total energy: -13.06 eV/f.u.
- SG: No. 166
- Energy relative to the lowest polymorph listed for this composition: 99 meV per atom

***

VASP calculation (PBE) on a relaxed Tl2TcHg crystal.

abc: 7.4791 7.4791 7.4791
angles: 156.83 142.81 44.28
Fractional coordinates of all 4 atoms:
Tl 0.0000 0.0000 0.0000
Tl 0.6867 0.1867 0.5000
Tc 0.5033 0.5033 0.0000
Hg 0.3248 0.8248 0.5000

Summary:
- E_form: 0.49 eV per atom
- Mass density: 11.8 g/cm3
- Crystal system: orthorhombic
- DFT total energy: -13.45 eV/f.u.
- SG: No. 44
- Energy relative to the lowest polymorph listed for this composition: 0 meV per atom

***

VASP calculation (PBE) on a relaxed TlTcHg2 crystal.

abc: 5.6723 5.6723 5.5886
angles: 116.46 116.46 32.85
Fractional coordinates of all 4 atoms:
Tl 0.0000 0.0000 0.0000
Tc 0.2694 0.2694 0.9693
Hg 0.5555 0.5555 0.5500
Hg 0.7828 0.7828 0.4046

Summary:
- E_form: 0.56 eV per atom
- Mass density: 13.5 g/cm3
- Crystal system: monoclinic
- DFT total energy: -11.11 eV/f.u.
- SG: No. 8
- Energy relative to the lowest polymorph listed for this composition: 82 meV per atom

***

VASP calculation (PBE) on a relaxed TlTc2Hg crystal.

abc: 2.9967 8.7945 8.7945
angles: 19.78 90.00 90.00
Fractional coordinates of all 4 atoms:
Tl 0.0000 0.0000 0.0000
Tc 0.0000 0.2103 0.2103
Tc 0.5000 0.6287 0.6287
Hg 0.5000 0.8347 0.8347

Summary:
- E_form: 0.30 eV per atom
- Mass density: 12.7 g/cm3
- Crystal system: orthorhombic
- DFT total energy: -22.20 eV/f.u.
- SG: No. 38
- Energy relative to the lowest polymorph listed for this composition: 0 meV per atom

***

VASP calculation (PBE) on a relaxed Tl2TcHg crystal.

abc: 5.1510 5.1510 5.1510
angles: 60.00 60.00 60.00
Fractional coordinates of all 4 atoms:
Tl 0.0000 0.0000 0.0000
Tl 0.2500 0.2500 0.2500
Tc 0.5000 0.5000 0.5000
Hg 0.7500 0.7500 0.7500

Summary:
- E_form: 0.82 eV per atom
- Mass density: 12.2 g/cm3
- Crystal system: cubic
- DFT total energy: -12.11 eV/f.u.
- SG: No. 216
- Energy relative to the lowest polymorph listed for this composition: 336 meV per atom

***

VASP calculation (PBE) on a relaxed TlTc2Hg2 crystal.

abc: 8.6550 8.6550 2.8895
angles: 90.00 90.00 90.00
Fractional coordinates of all 10 atoms:
Tl 0.0000 0.0000 0.0000
Tl 0.5000 0.5000 0.0000
Tc 0.0910 0.4090 0.5000
Tc 0.4090 0.9090 0.5000
Tc 0.5910 0.0910 0.5000
Tc 0.9090 0.5910 0.5000
Hg 0.1951 0.6951 0.0000
Hg 0.3049 0.1951 0.0000
Hg 0.6951 0.8049 0.0000
Hg 0.8049 0.3049 0.0000

Summary:
- E_form: 0.66 eV per atom
- Mass density: 12.3 g/cm3
- Crystal system: tetragonal
- DFT total energy: -20.39 eV/f.u.
- SG: No. 127
- Energy relative to the lowest polymorph listed for this composition: 102 meV per atom